Material: KAl2Au
Method: DFT, GGA-PBE
State: relaxed

Computed properties:
crystal system = monoclinic
energy of formation = -26.7 meV per atom
energy = -2.9917 eV per atom
V = 100.6 Å³/f.u.

abc: 11.663 2.997 6.131
angles: 90.00 110.14 90.00
Space group C2/m (No. 12)
Asymmetric unit:
K 0.000 0.000 0.000 x2
Al 0.200 0.000 0.633 x4
Au 0.000 0.500 0.500 x2

***

Material: K2AlAu
Method: DFT, GGA-PBE
State: relaxed

Computed properties:
crystal system = trigonal
energy of formation = 238.0 meV per atom
energy = -2.0657 eV per atom
V = 141.2 Å³/f.u.

abc: 3.9410 3.9410 31.4921
angles: 90.00 90.00 120.00
Space group R-3m (No. 166, hexagonal axes)
Asymmetric unit:
K 0.0000 0.0000 0.2404 x6
Al 0.0000 0.0000 0.0000 x3
Au 0.0000 0.0000 0.5000 x3

***

Material: KAlAu2
Method: DFT, GGA-PBE
State: relaxed

Computed properties:
crystal system = tetragonal
energy of formation = 115.5 meV per atom
energy = -2.7332 eV per atom
V = 88.1 Å³/f.u.

abc: 4.408 4.408 9.072
angles: 90.00 90.00 90.00
Space group I-4m2 (No. 119)
Asymmetric unit:
K 0.000 0.000 0.000 x2
Al 0.000 0.500 0.750 x2
Au 0.000 0.000 0.500 x2
Au 0.000 0.500 0.250 x2

***

Material: KAlAu2
Method: DFT, GGA-PBE
State: relaxed

Computed properties:
crystal system = tetragonal
energy of formation = -222.6 meV per atom
energy = -3.0713 eV per atom
V = 126.5 Å³/f.u.

abc: 5.467 5.467 16.930
angles: 90.00 90.00 90.00
Space group I4_1/amd (No. 141, origin choice 2)
Asymmetric unit:
K 0.000 0.250 0.375 x4
Al 0.000 0.250 0.875 x4
Au 0.000 0.000 0.000 x8

***

Material: K3AlAu4
Method: DFT, GGA-PBE
State: relaxed

Computed properties:
crystal system = orthorhombic
energy of formation = -266.8 meV per atom
energy = -2.7848 eV per atom
V = 237.6 Å³/f.u.

abc: 11.248 12.797 6.601
angles: 90.00 90.00 90.00
Space group Pnma (No. 62)
Asymmetric unit:
K 0.112 0.250 0.178 x4
K 0.156 0.000 0.596 x8
Al 0.174 0.750 0.171 x4
Au 0.061 0.584 0.080 x8
Au 0.100 0.250 0.688 x4
Au 0.116 0.750 0.542 x4

***

Material: KAl2Au2
Method: DFT, GGA-PBE
State: relaxed

Computed properties:
crystal system = tetragonal
energy of formation = -331.2 meV per atom
energy = -3.3587 eV per atom
V = 113.4 Å³/f.u.

abc: 4.461 4.461 11.401
angles: 90.00 90.00 90.00
Space group I4/mmm (No. 139)
Asymmetric unit:
K 0.000 0.000 0.000 x2
Al 0.000 0.500 0.250 x4
Au 0.000 0.000 0.369 x4

***

Material: KAlAu2
Method: DFT, GGA-PBE
State: relaxed

Computed properties:
crystal system = monoclinic
energy of formation = -188.3 meV per atom
energy = -3.0370 eV per atom
V = 96.4 Å³/f.u.

abc: 8.157 3.132 7.634
angles: 90.00 98.72 90.00
Space group C2/m (No. 12)
Asymmetric unit:
K 0.000 0.000 0.000 x2
Al 0.000 0.500 0.500 x2
Au 0.224 0.000 0.672 x4

***

Material: KAl2Au8
Method: DFT, GGA-PBE
State: relaxed

Computed properties:
crystal system = tetragonal
energy of formation = -167.9 meV per atom
energy = -3.3317 eV per atom
V = 288.9 Å³/f.u.

abc: 5.561 5.561 9.345
angles: 90.00 90.00 90.00
Space group P4/mmm (No. 123)
Asymmetric unit:
K 0.000 0.000 0.000 x1
Al 0.000 0.500 0.500 x2
Au 0.251 0.251 0.314 x8